Run i
Compound: CsAgAu2
Source: Alexandria via LeMat-Bulk
Functional: PBE-GGA
Structure: optimized geometry Values from VASP.

Geometry as Quantum ESPRESSO input:
```
&SYSTEM
  ibrav = 0, nat = 4, ntyp = 3
/
ATOMIC_SPECIES
Au 196.97 Au.upf
Ag 107.87 Ag.upf
Cs 132.91 Cs.upf
CELL_PARAMETERS angstrom
5.4336 0.0000 0.0000
2.7168 4.7056 0.0000
2.7168 1.5685 4.4365
ATOMIC_POSITIONS crystal
Au 0.7500 0.7500 0.7500
Ag 0.0000 0.0000 0.0000
Cs 0.5000 0.5000 0.5000
Au 0.2500 0.2500 0.2500
```

Results
As for the space-group type: Fm-3m. The density of states at the Fermi level comes out at 1.3 states/eV/f.u.

Run ii
Compound: CsAgAu2
Source: Alexandria via LeMat-Bulk
Functional: PBE-GGA
Structure: optimized geometry Values from VASP.

Geometry as Quantum ESPRESSO input:
```
&SYSTEM
  ibrav = 0, nat = 4, ntyp = 3
/
ATOMIC_SPECIES
Cs 132.91 Cs.upf
Ag 107.87 Ag.upf
Au 196.97 Au.upf
CELL_PARAMETERS angstrom
-2.4413 -2.0276 3.6680
-2.6738 -3.9730 -0.7689
3.3623 -5.6706 2.3100
ATOMIC_POSITIONS crystal
Cs 0.5000 0.5000 0.5000
Ag 0.0000 0.0000 0.0000
Au 0.3229 0.3229 0.0312
Au 0.6771 0.6771 0.9688
```

Results
As for the space-group type: R-3m. The density of states at the Fermi level comes out at 1.2 states/eV/f.u.

Run iii
Compound: CsAgAu2
Source: Alexandria via LeMat-Bulk
Functional: PBE-GGA
Structure: optimized geometry Values from VASP.

Geometry as Quantum ESPRESSO input:
```
&SYSTEM
  ibrav = 0, nat = 8, ntyp = 3
/
ATOMIC_SPECIES
Au 196.97 Au.upf
Cs 132.91 Cs.upf
Ag 107.87 Ag.upf
CELL_PARAMETERS angstrom
-0.1687 -0.1826 4.7893
1.5303 -6.4209 -0.1909
8.0099 1.8985 0.3545
ATOMIC_POSITIONS crystal
Au 0.0000 0.5610 0.6754
Cs 0.5000 0.9168 0.0000
Ag 0.5000 0.5858 0.5000
Cs 0.0000 0.0832 0.5000
Ag 0.0000 0.4142 0.0000
Au 0.5000 0.4390 0.1754
Au 0.5000 0.4390 0.8246
Au 0.0000 0.5610 0.3246
```

Results
As for the space-group type: Pmmn. The density of states at the Fermi level comes out at 0.8 states/eV/f.u.

Which structure is most stable? run ii, by 9 meV per atom over the runner-up.